Record 1
Density functional theory data (PBE) for a relaxed structure of Er2IrSe.

Computed properties:
The value obtained for the energy above the lowest structure with this stoichiometry is 0 meV/atom. The calculation puts the density of states at the Fermi level at 2.19 states/eV/f.u. The formation energy from raw total energies is -1.2305 eV/atom. The total magnetic moment comes out at 0.00 μB per formula unit.

Cell: 3.9524 3.9524 7.3594 Å, 74.42 74.42 60.00°
Last column: nearest neighbours and their distance in Å.
Atoms (fractional coordinates):
Ir  0.0000  0.0000  0.0000  6 Er 2.78
Se  0.5000  0.5000  0.5000  6 Er 2.98
Er  0.2579  0.2579  0.2264  3 Ir 2.78, 3 Se 2.98
Er  0.7421  0.7421  0.7736  3 Ir 2.78, 3 Se 2.98



Record 2
Density functional theory data (PBE) for a relaxed structure of Cu3PdS.

Computed properties:
The value obtained for the energy above the lowest structure with this stoichiometry is 766 meV/atom. The calculation puts the density of states at the Fermi level at 3.71 states/eV/f.u. The formation energy from raw total energies is 1.0294 eV/atom. The total magnetic moment comes out at 0.00 μB per formula unit.

Cell: 4.6362 4.6362 4.6362 Å, 90.00 90.00 90.00°
Last column: nearest neighbours and their distance in Å.
Atoms (fractional coordinates):
S  0.5000  0.5000  0.5000  12 Cu 3.28
Cu  0.0000  0.5000  0.0000  2 Pd 2.32
Cu  0.0000  0.0000  0.5000  2 Pd 2.32
Cu  0.5000  0.0000  0.0000  2 Pd 2.32
Pd  0.0000  0.0000  0.0000  6 Cu 2.32



Record 3
Density functional theory data (PBE) for a relaxed structure of LiEr2InTe4.

Computed properties:
The formation energy from raw total energies is -1.0743 eV/atom. The total magnetic moment comes out at 0.00 μB per formula unit.

Cell: 4.4039 7.6784 15.5460 Å, 90.00 90.00 106.66°
Last column: nearest neighbours and their distance in Å.
Atoms (fractional coordinates):
Li  0.8362  0.6724  0.7500  4 Te 2.68-2.69
Li  0.1638  0.3276  0.2500  4 Te 2.68-2.69
Er  0.3663  0.7326  0.5645  6 Te 3.06-3.12
Er  0.6337  0.2674  0.0645  6 Te 3.06-3.12
Er  0.6337  0.2674  0.4355  6 Te 3.06-3.12
Er  0.3663  0.7326  0.9355  6 Te 3.06-3.12
In  0.1126  0.2251  0.7500  6 Te 3.34-3.55
In  0.8874  0.7749  0.2500  6 Te 3.34-3.55
Te  0.2700  0.5400  0.1097  1 Li 2.68
Te  0.7300  0.4600  0.6097  1 Li 2.68
Te  0.7300  0.4600  0.8903  1 Li 2.68
Te  0.2700  0.5400  0.3903  1 Li 2.68
Te  0.0000  0.0000  0.5000  4 Er 3.12
Te  0.0000  0.0000  0.0000  4 Er 3.12
Te  0.4415  0.8830  0.7500  2 Li 2.69
Te  0.5585  0.1170  0.2500  2 Li 2.69



Record 4
Density functional theory data (PBE) for a relaxed structure of SrNi2Mo.

Computed properties:
The value obtained for the energy above the lowest structure with this stoichiometry is 112 meV/atom. The calculation puts the density of states at the Fermi level at 4.89 states/eV/f.u. As for the energy of formation: 277 meV per atom. The total magnetic moment comes out at 1.12 μB per formula unit.

Cell: 3.1721 3.1721 7.0847 Å, 90.00 90.00 90.00°
Last column: nearest neighbours and their distance in Å.
Atoms (fractional coordinates):
Mo  0.5000  0.5000  0.7500  8 Ni 2.57
Ni  0.0000  0.0000  0.9274  1 Ni 2.51, 4 Mo 2.57
Ni  0.0000  0.0000  0.5726  1 Ni 2.51, 4 Mo 2.57
Sr  0.5000  0.5000  0.2500  4 Sr 3.17, 8 Ni 3.20, 2 Mo 3.54



Record 5
Density functional theory data (PBE) for a relaxed structure of OsBrCl2.

Computed properties:
The value obtained for the energy above the lowest structure with this stoichiometry is 1518 meV/atom. The calculation puts the density of states at the Fermi level at 4.95 states/eV/f.u. The formation energy from raw total energies is 1.4283 eV/atom. The total magnetic moment comes out at 0.35 μB per formula unit.

Cell: 5.1033 5.1033 2.9846 Å, 90.00 90.00 109.24°
Last column: nearest neighbours and their distance in Å.
Atoms (fractional coordinates):
Os  0.5000  0.0000  0.5000  2 Br 2.95, 8 Cl 2.96, 2 Os 2.98
Br  0.0000  0.5000  0.5000  2 Os 2.95, 8 Cl 2.96, 2 Br 2.98
Cl  0.0000  0.0000  0.0000  4 Cl 2.95-2.98, 4 Os 2.96, 4 Br 2.96
Cl  0.5000  0.5000  0.0000  4 Cl 2.95-2.98, 4 Br 2.96, 4 Os 2.96



Record 6
Density functional theory data (PBE) for a relaxed structure of Cr2TePt.

Computed properties:
The calculation puts the density of states at the Fermi level at 2.01 states/eV/f.u. The formation energy from raw total energies is 0.2688 eV/atom. The total magnetic moment comes out at 0.41 μB per formula unit.

Cell: 4.6093 4.6093 4.6093 Å, 60.00 60.00 60.00°
Last column: nearest neighbours and their distance in Å.
Atoms (fractional coordinates):
Cr  0.0000  0.0000  0.0000  4 Cr 2.82, 4 Te 2.82
Cr  0.2500  0.2500  0.2500  4 Cr 2.82, 4 Pt 2.82
Pt  0.5000  0.5000  0.5000  4 Cr 2.82, 4 Te 2.82
Te  0.7500  0.7500  0.7500  4 Pt 2.82, 4 Cr 2.82



Record 7
Density functional theory data (PBE) for a relaxed structure of CeTh2Ru.

Computed properties:
The value obtained for the energy above the lowest structure with this stoichiometry is 112 meV/atom. The calculation puts the density of states at the Fermi level at 6.42 states/eV/f.u. As for the energy of formation: -153 meV per atom. The total magnetic moment comes out at 0.00 μB per formula unit.

Cell: 3.6187 3.6187 7.8249 Å, 90.00 90.00 90.00°
Last column: nearest neighbours and their distance in Å.
Atoms (fractional coordinates):
Ru  0.5000  0.5000  0.0000  8 Th 3.06
Ce  0.5000  0.5000  0.5000  8 Th 3.39, 4 Ce 3.62
Th  0.0000  0.0000  0.7846  4 Ru 3.06, 1 Th 3.37, 4 Ce 3.39
Th  0.0000  0.0000  0.2154  4 Ru 3.06, 1 Th 3.37, 4 Ce 3.39



Record 8
Density functional theory data (PBE) for a relaxed structure of Sm5Pd2.

Computed properties:
The calculation puts the density of states at the Fermi level at 8.38 states/eV/f.u. As for the energy of formation: -475 meV per atom. The total magnetic moment comes out at 0.00 μB per formula unit.

Cell: 6.6550 7.1763 9.1570 Å, 96.17 111.31 90.00°
Last column: nearest neighbours and their distance in Å.
Atoms (fractional coordinates):
Sm  0.2041  0.4313  0.1886  2 Pd 2.93-2.94
Sm  0.0154  0.0687  0.8114  2 Pd 2.93-2.94
Sm  0.2105  0.6900  0.5596  2 Pd 2.91-2.96
Sm  0.6508  0.8100  0.4404  2 Pd 2.91-2.96
Sm  0.7895  0.3100  0.4404  2 Pd 2.91-2.96
Sm  0.3492  0.1900  0.5596  2 Pd 2.91-2.96
Sm  0.9846  0.9313  0.1886  2 Pd 2.93-2.94
Sm  0.7959  0.5687  0.8114  2 Pd 2.93-2.94
Sm  0.5706  0.2500  0.0000  4 Pd 2.93-2.99
Sm  0.4294  0.7500  0.0000  4 Pd 2.93-2.99
Pd  0.1931  0.4288  0.7777  6 Sm 2.91-2.99
Pd  0.4154  0.0712  0.2223  6 Sm 2.91-2.99
Pd  0.8069  0.5712  0.2223  6 Sm 2.91-2.99
Pd  0.5846  0.9288  0.7777  6 Sm 2.91-2.99



Record 9
Density functional theory data (PBE) for a relaxed structure of Ta3Tc.

Computed properties:
The value obtained for the energy above the lowest structure with this stoichiometry is 718 meV/atom. The calculation puts the density of states at the Fermi level at 4.07 states/eV/f.u. As for the energy of formation: 440 meV per atom. The total magnetic moment comes out at 0.00 μB per formula unit.

Cell: 2.9551 2.6909 9.1621 Å, 90.00 90.00 90.00°
Last column: nearest neighbours and their distance in Å.
Atoms (fractional coordinates):
Tc  0.0000  0.0000  0.9618  6 Ta 2.69-2.87, 4 Tc 2.69-2.96
Ta  0.0000  0.5000  0.4678  6 Ta 2.69-2.97
Ta  0.5000  0.5000  0.1870  6 Ta 2.69-2.97, 4 Tc 2.87
Ta  0.5000  0.0000  0.7168  2 Tc 2.69, 4 Ta 2.69-2.96



Record 10
Density functional theory data (PBE) for a relaxed structure of B8P.

Computed properties:
The calculation puts the density of states at the Fermi level at 0.44 states/eV/f.u. As for the energy of formation: -76 meV per atom. The total magnetic moment comes out at 0.33 μB per formula unit.

Cell: 5.2490 5.2490 10.1771 Å, 71.34 71.34 68.72°
Last column: nearest neighbours and their distance in Å.
Atoms (fractional coordinates):
B  0.1952  0.7273  0.0963  5 B 1.73-1.81, 1 P 1.86
B  0.6916  0.2206  0.5890  5 B 1.73-1.80, 1 P 1.90
B  0.4536  0.4536  0.3538  5 B 1.72-1.81, 1 P 1.85
B  0.9610  0.9610  0.8594  5 B 1.74-1.81, 1 P 1.91
B  0.7273  0.1952  0.0963  5 B 1.73-1.81, 1 P 1.86
B  0.2206  0.6916  0.5890  5 B 1.73-1.80, 1 P 1.90
B  0.3002  0.7695  0.4042  5 B 1.72-1.79
B  0.8124  0.2796  0.9105  5 B 1.74-1.81, 1 P 1.91
B  0.0406  0.0406  0.1516  5 B 1.73-1.80
B  0.5429  0.5429  0.6389  5 B 1.75-1.81, 1 P 1.92
B  0.7695  0.3002  0.4042  5 B 1.72-1.79
B  0.2796  0.8124  0.9105  5 B 1.74-1.81, 1 P 1.91
B  0.6722  0.9855  0.0075  6 B 1.73-1.86
B  0.1641  0.4798  0.5030  6 B 1.74-1.89
B  0.8278  0.8278  0.1640  6 B 1.72-1.84
B  0.3242  0.3242  0.6634  6 B 1.75-1.89
B  0.9855  0.6722  0.0075  6 B 1.73-1.86
B  0.4798  0.1641  0.5030  6 B 1.74-1.89
B  0.8330  0.5107  0.4882  6 B 1.74-1.91
B  0.3346  0.0219  0.0015  6 B 1.73-1.89
B  0.6716  0.6716  0.3318  6 B 1.72-1.86
B  0.1779  0.1779  0.8396  6 B 1.75-1.89
B  0.5107  0.8330  0.4882  6 B 1.74-1.91
B  0.0219  0.3346  0.0015  6 B 1.73-1.89
P  0.6107  0.6107  0.7975  3 B 1.91-1.92
P  0.3903  0.3903  0.1997  3 B 1.85-1.86
P  0.8923  0.8923  0.7028  3 B 1.90-1.91